# NaCeI3

A relaxed structure of NaCeI3 (PBE-GGA, Alexandria via LeMat-Bulk).

```
data_NaCeI3
_space_group_name_H-M_alt 'P 1'
_space_group_IT_number 1
_space_group_name_Hall 'P 1'
_cell_length_a 7.9910
_cell_length_b 4.0749
_cell_length_c 8.0062
_cell_angle_alpha 90.00
_cell_angle_beta 119.93
_cell_angle_gamma 90.00
loop_
_atom_site_label
_atom_site_fract_x
_atom_site_fract_y
_atom_site_fract_z
Na1 0.0000 0.0000 0.0000
Ce1 0.6672 0.0000 0.3348
I1 0.3368 0.5000 0.3045
I2 0.6968 0.5000 0.0349
I3 0.9674 0.5000 0.6640
```

Computed properties:
* ΔE_f (raw): -568 kJ/mol of formula units



# Te2IrF

A relaxed structure of Te2IrF (PBE-GGA, Alexandria via LeMat-Bulk).

```
data_Te2IrF
_space_group_name_H-M_alt 'P 1'
_space_group_IT_number 1
_space_group_name_Hall 'P 1'
_cell_length_a 7.4820
_cell_length_b 7.4820
_cell_length_c 7.4820
_cell_angle_alpha 32.06
_cell_angle_beta 32.06
_cell_angle_gamma 32.06
loop_
_atom_site_label
_atom_site_fract_x
_atom_site_fract_y
_atom_site_fract_z
Te1 0.1089 0.1089 0.1089
Te2 0.8911 0.8911 0.8911
Ir1 0.5000 0.5000 0.5000
F1 0.0000 0.0000 0.0000
```

Computed properties:
* ΔE_f (raw): -247 kJ/mol of formula units



# Cd4In2Sn3

A relaxed structure of Cd4In2Sn3 (PBE-GGA, Alexandria via LeMat-Bulk).

```
data_Cd4In2Sn3
_space_group_name_H-M_alt 'P 1'
_space_group_IT_number 1
_space_group_name_Hall 'P 1'
_cell_length_a 4.4954
_cell_length_b 7.1894
_cell_length_c 7.9353
_cell_angle_alpha 71.64
_cell_angle_beta 89.44
_cell_angle_gamma 72.33
loop_
_atom_site_label
_atom_site_fract_x
_atom_site_fract_y
_atom_site_fract_z
Cd1 0.1171 0.2630 0.1812
Cd2 0.3305 0.8420 0.4992
Cd3 0.6695 0.1580 0.5008
Cd4 0.8829 0.7370 0.8188
In1 0.2191 0.0583 0.8326
In2 0.7809 0.9417 0.1674
Sn1 0.0000 0.5000 0.5000
Sn2 0.4548 0.5945 0.1625
Sn3 0.5452 0.4055 0.8375
```

Computed properties:
* calculated formation energy: 41 meV/atom



# BC3

A relaxed structure of BC3 (PBE-GGA, Alexandria via LeMat-Bulk).

```
data_BC3
_space_group_name_H-M_alt 'P 1'
_space_group_IT_number 1
_space_group_name_Hall 'P 1'
_cell_length_a 3.7848
_cell_length_b 3.8606
_cell_length_c 4.1009
_cell_angle_alpha 82.74
_cell_angle_beta 62.52
_cell_angle_gamma 89.25
loop_
_atom_site_label
_atom_site_fract_x
_atom_site_fract_y
_atom_site_fract_z
B1 0.0000 0.0000 0.0000
C1 0.0020 0.9999 0.3662
C2 0.2108 0.9993 0.5784
C3 0.6320 0.0002 0.3661
```

Computed properties:
* calculated formation energy: 708 meV/atom



# MoHSe2

A relaxed structure of MoHSe2 (PBE-GGA, Alexandria via LeMat-Bulk).

```
data_MoHSe2
_space_group_name_H-M_alt 'P 1'
_space_group_IT_number 1
_space_group_name_Hall 'P 1'
_cell_length_a 3.3067
_cell_length_b 3.3067
_cell_length_c 7.2134
_cell_angle_alpha 102.76
_cell_angle_beta 102.76
_cell_angle_gamma 59.92
loop_
_atom_site_label
_atom_site_fract_x
_atom_site_fract_y
_atom_site_fract_z
Mo1 0.0000 0.0000 0.0000
H1 0.3333 0.3333 0.9988
Se1 0.5828 0.5828 0.7381
Se2 0.7505 0.7505 0.2608
```

Computed properties:
* raw total energy: -5.528 eV/atom



# Ba5As2Br2

A relaxed structure of Ba5As2Br2 (PBE-GGA, Alexandria via LeMat-Bulk).

```
data_Ba5As2Br2
_space_group_name_H-M_alt 'P 1'
_space_group_IT_number 1
_space_group_name_Hall 'P 1'
_cell_length_a 9.5371
_cell_length_b 9.5371
_cell_length_c 9.1569
_cell_angle_alpha 90.00
_cell_angle_beta 90.00
_cell_angle_gamma 56.55
loop_
_atom_site_label
_atom_site_fract_x
_atom_site_fract_y
_atom_site_fract_z
Ba1 0.0000 0.0000 0.0000
Ba2 0.0236 0.7264 0.6443
Ba3 0.2264 0.5236 0.1443
Ba4 0.2736 0.9764 0.6443
Ba5 0.4764 0.7736 0.1443
Ba6 0.5000 0.5000 0.5000
Ba7 0.5236 0.2264 0.8557
Ba8 0.7264 0.0236 0.3557
Ba9 0.7736 0.4764 0.8557
Ba10 0.9764 0.2736 0.3557
As1 0.1586 0.8414 0.3414
As2 0.3414 0.6586 0.8414
As3 0.6586 0.3414 0.1586
As4 0.8414 0.1586 0.6586
Br1 0.1951 0.1951 0.0000
Br2 0.3049 0.3049 0.5000
Br3 0.6951 0.6951 0.5000
Br4 0.8049 0.8049 0.0000
```

Computed properties:
* ΔE_f (raw): -1103 kJ/mol of formula units



# PrEuY

A relaxed structure of PrEuY (PBE-GGA, Alexandria via LeMat-Bulk).

```
data_PrEuY
_space_group_name_H-M_alt 'P 1'
_space_group_IT_number 1
_space_group_name_Hall 'P 1'
_cell_length_a 8.2749
_cell_length_b 8.2749
_cell_length_c 8.2749
_cell_angle_alpha 153.98
_cell_angle_beta 153.98
_cell_angle_gamma 37.13
loop_
_atom_site_label
_atom_site_fract_x
_atom_site_fract_y
_atom_site_fract_z
Pr1 0.0000 0.0000 0.0000
Eu1 0.3246 0.3246 0.0000
Y1 0.6528 0.6528 0.0000
```

Computed properties:
* calculated formation energy: 40 meV/atom



# CaSmSn2

A relaxed structure of CaSmSn2 (PBE-GGA, Alexandria via LeMat-Bulk).

```
data_CaSmSn2
_space_group_name_H-M_alt 'P 1'
_space_group_IT_number 1
_space_group_name_Hall 'P 1'
_cell_length_a 10.1012
_cell_length_b 10.1012
_cell_length_c 10.1012
_cell_angle_alpha 21.35
_cell_angle_beta 21.35
_cell_angle_gamma 21.35
loop_
_atom_site_label
_atom_site_fract_x
_atom_site_fract_y
_atom_site_fract_z
Ca1 0.0000 0.0000 0.0000
Sm1 0.5000 0.5000 0.5000
Sn1 0.2504 0.2504 0.2504
Sn2 0.7496 0.7496 0.7496
```

Computed properties:
* calculated formation energy: -486 meV/atom



Number 1: calculated density 3.997 g/cm3. Number 2: calculated density 7.387 g/cm3. Number 3: calculated density 7.447 g/cm3. Number 4: calculated density 1.477 g/cm3. Number 5: calculated density 6.413 g/cm3. Number 6: calculated density 4.761 g/cm3. Number 7: calculated density 5.822 g/cm3. Number 8: calculated density 5.937 g/cm3.